Record 1
CsRbBr2 | GGA-PBE | relaxed

```
data_CsRbBr2
_cell_length_a 4.9694
_cell_length_b 4.9694
_cell_length_c 25.9093
_cell_angle_alpha 90.00
_cell_angle_beta 90.00
_cell_angle_gamma 120.00
_symmetry_space_group_name_H-M 'R 3 m'
_symmetry_Int_Tables_number 160
_symmetry_space_group_name_Hall 'R 3 -2"'
loop_
_atom_site_label
_atom_site_type_symbol
_atom_site_fract_x
_atom_site_fract_y
_atom_site_fract_z
Cs1 Cs 0.0000 0.0000 0.0000
Rb1 Rb 0.0000 0.0000 0.1695
Br1 Br 0.0000 0.0000 0.5801
Br2 Br 0.0000 0.0000 0.7562
```

Values from the calculation:
Formation energy (no corrections) in eV/f.u.: -7.0

Record 2
Cs12Rb5Br3 | GGA-PBE | relaxed

```
data_Cs12Rb5Br3
_cell_length_a 25.991
_cell_length_b 25.991
_cell_length_c 25.991
_cell_angle_alpha 90.00
_cell_angle_beta 90.00
_cell_angle_gamma 90.00
_symmetry_space_group_name_H-M 'I a -3 d'
_symmetry_Int_Tables_number 230
_symmetry_space_group_name_Hall '-I 4bd 2c 3'
loop_
_atom_site_label
_atom_site_type_symbol
_atom_site_fract_x
_atom_site_fract_y
_atom_site_fract_z
Cs1 Cs 0.016 0.115 0.641
Rb1 Rb 0.000 0.000 0.000
Rb2 Rb 0.000 0.250 0.375
Br1 Br 0.000 0.250 0.125
```

Values from the calculation:
Formation energy (no corrections) in eV/f.u.: -7.0